No. 1
Density functional theory data (GGA-PBE) for a relaxed structure of HfZnSi2B.

abc: 5.103 4.440 5.103
angles: 90.00 90.00 90.00
Atoms (fractional coordinates):
Zn: 0.500 0.500 0.500
B: 0.000 0.500 0.000
Hf: 0.000 0.000 0.000
Si: 0.000 0.000 0.500
Si: 0.500 0.000 0.000

Properties
The density is 4.46 Mg/m³. The space group is P4/mmm. As for the formation energy without anion corrections: 1.199 eV per atom.



No. 2
Density functional theory data (GGA-PBE) for a relaxed structure of HfZr2SiB.

abc: 4.746 3.921 4.746
angles: 90.00 90.00 90.00
Atoms (fractional coordinates):
Si: 0.000 0.500 0.000
B: 0.000 0.000 0.000
Hf: 0.500 0.500 0.500
Zr: 0.000 0.000 0.500
Zr: 0.500 0.000 0.000

Properties
The density is 7.52 Mg/m³. The space group is P4/mmm. As for the formation energy without anion corrections: -0.093 eV per atom.



No. 3
Density functional theory data (GGA-PBE) for a relaxed structure of Hf6Sn3B.

abc: 7.236 6.163 6.163
angles: 59.63 73.02 73.02
Atoms (fractional coordinates):
Hf: 0.370 0.145 0.646
Hf: 0.630 0.354 0.855
Hf: 0.630 0.855 0.354
Hf: 0.370 0.646 0.145
Hf: 0.201 0.678 0.678
Hf: 0.799 0.322 0.322
Sn: 0.247 0.188 0.188
Sn: 0.753 0.812 0.812
Sn: 0.000 0.000 0.000
B: 0.500 0.500 0.500

Properties
The density is 10.69 Mg/m³. The space group is C2/m. As for the formation energy: -0.153 eV/atom.



No. 4
Density functional theory data (GGA-PBE) for a relaxed structure of Hf12Sn6B.

abc: 7.785 7.785 7.785
angles: 100.21 100.21 100.21
Atoms (fractional coordinates):
Hf: 0.788 0.591 0.480
Hf: 0.480 0.788 0.591
Hf: 0.591 0.480 0.788
Hf: 0.212 0.409 0.520
Hf: 0.520 0.212 0.409
Hf: 0.409 0.520 0.212
Hf: 0.056 0.022 0.305
Hf: 0.978 0.695 0.944
Hf: 0.695 0.944 0.978
Hf: 0.944 0.978 0.695
Hf: 0.022 0.305 0.056
Hf: 0.305 0.056 0.022
Sn: 0.679 0.893 0.333
Sn: 0.667 0.321 0.107
Sn: 0.107 0.667 0.321
Sn: 0.321 0.107 0.667
Sn: 0.333 0.679 0.893
Sn: 0.893 0.333 0.679
B: 0.000 0.000 0.000

Properties
The density is 10.66 Mg/m³. The space group is R-3. As for the formation energy: -0.027 eV/atom.



No. 5
Density functional theory data (GGA-PBE) for a relaxed structure of HfSnB3.

abc: 4.337 4.337 4.337
angles: 90.00 90.00 90.00
Atoms (fractional coordinates):
B: 0.000 0.500 0.000
B: 0.000 0.000 0.500
B: 0.500 0.000 0.000
Hf: 0.500 0.500 0.500
Sn: 0.000 0.000 0.000

Properties
The density is 6.71 Mg/m³. The space group is Pm-3m. As for the formation energy: 1.922 eV/atom.



No. 6
Density functional theory data (GGA-PBE) for a relaxed structure of Hf6Sn2B.

abc: 5.863 5.863 12.926
angles: 90.00 90.00 90.00
Atoms (fractional coordinates):
Hf: 0.311 0.311 0.378
Hf: 0.689 0.689 0.378
Hf: 0.189 0.811 0.878
Hf: 0.811 0.189 0.878
Hf: 0.189 0.811 0.122
Hf: 0.811 0.189 0.122
Hf: 0.311 0.311 0.622
Hf: 0.689 0.689 0.622
Hf: 0.290 0.290 0.000
Hf: 0.710 0.710 0.000
Hf: 0.210 0.790 0.500
Hf: 0.790 0.210 0.500
Sn: 0.000 0.000 0.310
Sn: 0.500 0.500 0.810
Sn: 0.500 0.500 0.190
Sn: 0.000 0.000 0.690
B: 0.000 0.000 0.000
B: 0.500 0.500 0.500

Properties
The density is 9.86 Mg/m³. The space group is P4_2/mnm. As for the formation energy: 0.219 eV/atom.



No. 7
Density functional theory data (GGA-PBE) for a relaxed structure of HfSnB3.

abc: 4.505 4.505 4.505
angles: 90.00 90.00 90.00
Atoms (fractional coordinates):
B: 0.000 0.500 0.000
B: 0.000 0.000 0.500
B: 0.500 0.000 0.000
Hf: 0.000 0.000 0.000
Sn: 0.500 0.500 0.500

Properties
The density is 5.99 Mg/m³. The space group is Pm-3m. As for the formation energy: 1.513 eV/atom.



No. 8
Density functional theory data (GGA-PBE) for a relaxed structure of Hf8Sn2B.

abc: 4.844 5.871 9.003
angles: 111.74 105.61 90.00
Atoms (fractional coordinates):
Hf: 0.415 0.568 0.830
Hf: 0.634 0.992 0.269
Hf: 0.779 0.685 0.558
Hf: 0.988 0.228 0.977
Hf: 0.221 0.315 0.442
Hf: 0.366 0.008 0.731
Hf: 0.585 0.432 0.170
Hf: 0.012 0.772 0.023
Sn: 0.825 0.259 0.651
Sn: 0.175 0.741 0.349
B: 0.500 0.000 0.000

Properties
The density is 12.23 Mg/m³. The space group is C2/m. As for the formation energy: -0.096 eV/atom.



No. 9
Density functional theory data (GGA-PBE) for a relaxed structure of HfSn2B.

abc: 7.063 7.063 5.914
angles: 53.34 53.34 90.00
Atoms (fractional coordinates):
B: 0.500 0.500 0.000
B: 0.250 0.750 0.500
Hf: 0.000 0.000 0.000
Hf: 0.750 0.250 0.500
Sn: 0.553 0.125 0.250
Sn: 0.197 0.625 0.250
Sn: 0.375 0.447 0.750
Sn: 0.875 0.803 0.750

Properties
The density is 8.97 Mg/m³. The space group is I-42d. As for the formation energy: 0.405 eV/atom.



No. 10
Density functional theory data (GGA-PBE) for a relaxed structure of YHfSn2B.

abc: 4.887 4.616 4.887
angles: 90.00 90.00 90.00
Atoms (fractional coordinates):
Y: 0.500 0.500 0.500
B: 0.000 0.000 0.000
Hf: 0.000 0.500 0.000
Sn: 0.000 0.000 0.500
Sn: 0.500 0.000 0.000

Properties
The density is 7.77 Mg/m³. The space group is P4/mmm. As for the formation energy: 0.153 eV/atom.



No. 11
Density functional theory data (GGA-PBE) for a relaxed structure of Hf2ZrSnB.

abc: 4.591 4.591 4.654
angles: 90.00 90.00 90.00
Atoms (fractional coordinates):
B: 0.000 0.000 0.000
Hf: 0.000 0.500 0.000
Hf: 0.500 0.000 0.000
Sn: 0.500 0.500 0.500
Zr: 0.000 0.000 0.500

Properties
The density is 9.78 Mg/m³. The space group is P4/mmm. As for the formation energy: -0.433 eV/atom.



No. 12
Density functional theory data (GGA-PBE) for a relaxed structure of Sr2HfB.

abc: 11.052 11.052 8.138
angles: 47.24 47.24 90.00
Atoms (fractional coordinates):
Sr: 0.459 0.125 0.250
Sr: 0.291 0.625 0.250
Sr: 0.375 0.541 0.750
Sr: 0.875 0.709 0.750
B: 0.500 0.500 0.000
B: 0.250 0.750 0.500
Hf: 0.000 0.000 0.000
Hf: 0.750 0.250 0.500

Properties
The density is 4.36 Mg/m³. The space group is I-42d. As for the formation energy: 0.625 eV/atom.